No. 1
This record from Alexandria via LeMat-Bulk describes a geometry-optimized Ba2RuICl structure. The functional is PBE.

```
5
Lattice="5.964 0.000 0.000 0.000 5.964 0.000 0.000 0.000 6.299" Properties=species:S:1:pos:R:3 pbc="T T T"
Ba 0.000 2.982 0.000
Ba 2.982 0.000 0.000
Ru 0.000 0.000 3.149
I 2.982 2.982 3.149
Cl 2.982 2.982 0.000
```

Summary:
- V: 224 Å³ per cell
- Energy relative to the elements, uncorrected: 0.028 eV per atom
- Space group: P4/mmm (123)
- Calculated total energy: -3.276 eV/atom



No. 2
This record from Alexandria via LeMat-Bulk describes a geometry-optimized BaRuICl2 structure. The functional is PBE.

```
5
Lattice="5.030 0.000 0.000 0.000 5.030 0.000 0.000 0.000 5.362" Properties=species:S:1:pos:R:3 pbc="T T T"
Ba 0.000 0.000 0.000
Ru 2.515 2.515 2.681
I 2.515 2.515 0.000
Cl 0.000 2.515 2.681
Cl 2.515 0.000 2.681
```

Summary:
- V: 136 Å³ per cell
- Energy relative to the elements, uncorrected: -0.851 eV per atom
- Space group: P4/mmm (123)
- Calculated total energy: -4.139 eV/atom



No. 3
This record from Alexandria via LeMat-Bulk describes a geometry-optimized BaSICl2 structure. The functional is PBE.

```
5
Lattice="5.955 0.000 0.000 0.000 5.955 0.000 0.000 0.000 6.609" Properties=species:S:1:pos:R:3 pbc="T T T"
Ba 0.000 0.000 0.000
S 0.000 0.000 3.304
I 2.977 2.977 3.304
Cl 0.000 2.977 0.000
Cl 2.977 0.000 0.000
```

Summary:
- V: 234 Å³ per cell
- Energy relative to the elements, uncorrected: -0.630 eV per atom
- Space group: P4/mmm (123)
- Calculated total energy: -2.888 eV/atom



No. 4
This record from Alexandria via LeMat-Bulk describes a geometry-optimized BaSICl2 structure. The functional is PBE.

```
5
Lattice="5.788 0.000 0.000 0.000 5.788 0.000 0.000 0.000 5.186" Properties=species:S:1:pos:R:3 pbc="T T T"
Ba 0.000 0.000 0.000
S 2.894 2.894 0.000
I 2.894 2.894 2.593
Cl 0.000 2.894 2.593
Cl 2.894 0.000 2.593
```

Summary:
- V: 174 Å³ per cell
- Energy relative to the elements, uncorrected: -0.723 eV per atom
- Space group: P4/mmm (123)
- Calculated total energy: -2.982 eV/atom



No. 5
This record from Alexandria via LeMat-Bulk describes a geometry-optimized BaS2ICl structure. The functional is PBE.

```
5
Lattice="5.188 0.000 0.000 0.000 5.188 0.000 0.000 0.000 5.758" Properties=species:S:1:pos:R:3 pbc="T T T"
Ba 0.000 0.000 0.000
S 0.000 2.594 2.879
S 2.594 0.000 2.879
I 2.594 2.594 2.879
Cl 2.594 2.594 0.000
```

Summary:
- V: 155 Å³ per cell
- Energy relative to the elements, uncorrected: -0.598 eV per atom
- Space group: P4/mmm (123)
- Calculated total energy: -3.313 eV/atom



No. 6
This record from Alexandria via LeMat-Bulk describes a geometry-optimized BaS2ICl structure. The functional is PBE.

```
5
Lattice="6.436 0.000 0.000 0.000 6.436 0.000 0.000 0.000 5.813" Properties=species:S:1:pos:R:3 pbc="T T T"
Ba 0.000 0.000 0.000
S 0.000 3.218 0.000
S 3.218 0.000 0.000
I 3.218 3.218 2.906
Cl 0.000 0.000 2.906
```

Summary:
- V: 241 Å³ per cell
- Energy relative to the elements, uncorrected: -0.134 eV per atom
- Space group: P4/mmm (123)
- Calculated total energy: -2.849 eV/atom



No. 7
This record from Alexandria via LeMat-Bulk describes a geometry-optimized Ba4SbICl2 structure. The functional is PBE.

```
8
Lattice="8.158 0.000 0.000 0.000 4.882 0.000 -2.888 0.000 7.902" Properties=species:S:1:pos:R:3 pbc="T T T"
Ba 1.238 0.000 1.838
Ba -0.223 2.441 6.004
Ba 5.492 2.441 1.899
Ba 4.031 0.000 6.064
Sb 4.079 0.000 0.000
I 2.635 2.441 3.951
Cl -1.444 0.000 3.951
Cl 0.000 2.441 0.000
```

Summary:
- V: 315 Å³ per cell
- Energy relative to the elements, uncorrected: -1.572 eV per atom
- Space group: P2/m (10)
- Calculated total energy: -3.704 eV/atom



No. 8
This record from Alexandria via LeMat-Bulk describes a geometry-optimized Ba4Sb2ICl structure. The functional is PBE.

```
8
Lattice="0.000 6.876 5.011 5.014 0.000 5.011 5.014 6.876 0.000" Properties=species:S:1:pos:R:3 pbc="T T T"
Ba 7.561 6.876 2.563
Ba 5.014 3.291 5.011
Ba 2.466 6.876 2.563
Ba 5.014 10.461 5.011
Sb 2.507 3.438 2.494
Sb 7.520 10.314 7.505
I 5.014 6.876 5.023
Cl 5.014 6.876 9.945
```

Summary:
- V: 346 Å³ per cell
- Energy relative to the elements, uncorrected: -1.437 eV per atom
- Space group: Fmm2 (42)
- Calculated total energy: -3.853 eV/atom



No. 9
This record from Alexandria via LeMat-Bulk describes a geometry-optimized Ba3SbICl structure. The functional is PBE.

```
12
Lattice="9.859 0.000 0.000 0.000 5.133 0.000 -1.749 0.000 11.496" Properties=species:S:1:pos:R:3 pbc="T T T"
Ba 0.112 1.283 3.982
Ba 0.855 1.283 10.850
Ba 2.707 3.850 7.337
Ba 5.404 1.283 4.158
Ba 7.256 3.850 0.646
Ba 7.999 3.850 7.514
Sb 0.471 1.283 7.461
Sb 7.640 3.850 4.035
I 2.808 3.850 3.738
I 5.302 1.283 7.757
Cl 2.621 3.850 10.434
Cl 5.489 1.283 1.062
```

Summary:
- V: 582 Å³ per cell
- Energy relative to the elements, uncorrected: -1.488 eV per atom
- Space group: P2_1/m (11)
- Calculated total energy: -3.702 eV/atom



No. 10
This record from Alexandria via LeMat-Bulk describes a geometry-optimized Ba6Sb2ICl3 structure. The functional is PBE.

```
12
Lattice="10.391 -2.465 0.000 10.391 2.465 0.000 -1.759 0.000 9.326" Properties=species:S:1:pos:R:3 pbc="T T T"
Ba -0.393 0.000 2.175
Ba 6.083 0.000 3.838
Ba 5.274 0.000 8.587
Ba 13.749 0.000 0.740
Ba 12.940 0.000 5.489
Ba 19.415 0.000 7.152
Sb 1.932 0.000 7.709
Sb 17.090 0.000 1.617
I 9.511 0.000 4.663
Cl 2.871 0.000 3.138
Cl 10.391 0.000 0.000
Cl 16.152 0.000 6.188
```

Summary:
- V: 478 Å³ per cell
- Energy relative to the elements, uncorrected: -1.582 eV per atom
- Space group: C2/m (12)
- Calculated total energy: -3.821 eV/atom



No. 11
This record from Alexandria via LeMat-Bulk describes a geometry-optimized Ba6Sb2I3Cl structure. The functional is PBE.

```
12
Lattice="10.922 -2.505 0.000 10.922 2.505 0.000 -2.611 0.000 9.600" Properties=species:S:1:pos:R:3 pbc="T T T"
Ba -0.528 0.000 2.269
Ba 6.002 0.000 4.170
Ba 5.083 0.000 8.707
Ba 14.151 0.000 0.893
Ba 13.232 0.000 5.430
Ba 19.762 0.000 7.331
Sb 2.699 0.000 3.102
Sb 16.535 0.000 6.498
I 1.496 0.000 7.991
I 9.617 0.000 4.800
I 17.738 0.000 1.609
Cl 10.922 0.000 0.000
```

Summary:
- V: 525 Å³ per cell
- Energy relative to the elements, uncorrected: -1.442 eV per atom
- Space group: C2/m (12)
- Calculated total energy: -3.632 eV/atom



No. 12
This record from Alexandria via LeMat-Bulk describes a geometry-optimized BaSrI2Cl structure. The functional is PBE.

```
5
Lattice="7.002 0.000 0.000 0.000 7.002 0.000 0.000 0.000 5.167" Properties=species:S:1:pos:R:3 pbc="T T T"
Ba 0.000 0.000 0.000
Sr 3.501 3.501 0.000
I 0.000 3.501 2.583
I 3.501 0.000 2.583
Cl 3.501 3.501 2.583
```

Summary:
- V: 253 Å³ per cell
- Energy relative to the elements, uncorrected: -1.124 eV per atom
- Space group: P4/mmm (123)
- Calculated total energy: -2.834 eV/atom